Density functional theory data (GGA-PBE) for a relaxed Rb2ZrAu2Se4 crystal.

Calculated values
Total moment ... 0.002 μB per formula unit
V ... 29.90 Å³ per atom
DFT total energy ... -4.3722 eV/atom

Lattice parameters (Å, degrees): 7.6469 7.6469 6.1995 90.00 90.00 132.08
Closest atoms and distances in Å follow each position.
Fractional coordinates of all 9 atoms:
Rb1 0.0000 0.5000 0.2404  8 Se 3.60-3.74
Rb2 0.5000 0.0000 0.7597  8 Se 3.60-3.74
Zr1 0.0000 0.0000 0.5000  4 Se 2.58
Au1 0.0000 0.0000 0.0000  4 Se 2.68
Au2 0.5000 0.5000 0.5000  4 Se 2.68
Se1 0.1265 0.3465 0.7360  1 Zr 2.58, 2 Au 2.68
Se2 0.3465 0.1265 0.2640  1 Zr 2.58, 2 Au 2.68
Se3 0.6535 0.8735 0.2640  1 Zr 2.58, 2 Au 2.68
Se4 0.8735 0.6535 0.7360  1 Zr 2.58, 2 Au 2.68

***

Density functional theory data (GGA-PBE) for a relaxed RbSiAu2 crystal.

Calculated values
V ... 27.81 Å³ per atom
DFT total energy ... -3.5226 eV/atom

Lattice parameters (Å, degrees): 8.3140 4.6037 11.6245 90.00 90.00 90.00
Closest atoms and distances in Å follow each position.
Fractional coordinates of all 16 atoms:
Rb1 0.1444 0.2500 0.1125  7 Au 3.45-3.85, 3 Si 3.68-3.76
Rb2 0.3556 0.7500 0.6125  7 Au 3.45-3.85, 3 Si 3.68-3.76
Rb3 0.6444 0.2500 0.3875  7 Au 3.45-3.85, 3 Si 3.68-3.76
Rb4 0.8556 0.7500 0.8875  7 Au 3.45-3.85, 3 Si 3.68-3.76
Si1 0.0811 0.7500 0.3556  5 Au 2.45-2.65
Si2 0.4189 0.2500 0.8556  5 Au 2.45-2.65
Si3 0.5811 0.7500 0.1444  5 Au 2.45-2.65
Si4 0.9189 0.2500 0.6444  5 Au 2.45-2.65
Au1 0.0532 0.2500 0.4374  3 Si 2.50-2.65
Au2 0.1437 0.2500 0.7811  2 Si 2.45
Au3 0.3563 0.7500 0.2811  2 Si 2.45
Au4 0.4468 0.7500 0.9374  3 Si 2.50-2.65
Au5 0.5532 0.2500 0.0626  3 Si 2.50-2.65
Au6 0.6437 0.2500 0.7189  2 Si 2.45
Au7 0.8563 0.7500 0.2189  2 Si 2.45
Au8 0.9468 0.7500 0.5626  3 Si 2.50-2.65

***

Density functional theory data (GGA-PBE) for a relaxed RbSi5Au3 crystal.

Calculated values
V ... 22.01 Å³ per atom
DFT total energy ... -3.8138 eV/atom

Lattice parameters (Å, degrees): 6.2422 6.2422 5.8701 90.00 90.00 120.00
Closest atoms and distances in Å follow each position.
Fractional coordinates of all 9 atoms:
Rb1 0.0000 0.0000 0.0000  2 Si 2.94
Si1 0.0000 0.0000 0.5000  2 Rb 2.94, 6 Au 3.12
Si2 0.3333 0.6667 0.2036  1 Si 2.39, 3 Au 2.50
Si3 0.3333 0.6667 0.7964  1 Si 2.39, 3 Au 2.50
Si4 0.6667 0.3333 0.2036  1 Si 2.39, 3 Au 2.50
Si5 0.6667 0.3333 0.7964  1 Si 2.39, 3 Au 2.50
Au1 0.0000 0.5000 0.5000  4 Si 2.50
Au2 0.5000 0.0000 0.5000  4 Si 2.50
Au3 0.5000 0.5000 0.5000  4 Si 2.50

***

Density functional theory data (GGA-PBE) for a relaxed RbSmAu crystal.

Calculated values
Total moment ... 0.043 μB per formula unit
V ... 32.17 Å³ per atom
DFT total energy ... -2.5955 eV/atom

Lattice parameters (Å, degrees): 5.1489 5.1489 5.1489 60.00 60.00 60.00
Closest atoms and distances in Å follow each position.
Fractional coordinates of all 3 atoms:
Rb1 0.0000 0.0000 0.0000  4 Sm 3.15
Sm1 0.7500 0.7500 0.7500  4 Rb 3.15, 4 Au 3.15
Au1 0.5000 0.5000 0.5000  4 Sm 3.15

***

Density functional theory data (GGA-PBE) for a relaxed RbSmTe3Au crystal.

Calculated values
Total moment ... 0.012 μB per formula unit
V ... 34.60 Å³ per atom
DFT total energy ... -3.9899 eV/atom

Lattice parameters (Å, degrees): 8.6756 8.6756 11.4196 90.00 90.00 151.12
Closest atoms and distances in Å follow each position.
Fractional coordinates of all 12 atoms:
Rb1 0.2466 0.7534 0.7500  8 Te 3.67-4.04
Rb2 0.7534 0.2466 0.2500  8 Te 3.67-4.04
Sm1 0.0000 0.0000 0.0000  6 Te 3.13-3.15
Sm2 0.0000 0.0000 0.5000  6 Te 3.13-3.15
Te1 0.0763 0.9237 0.2500  2 Au 2.82, 2 Sm 3.13
Te2 0.3692 0.6308 0.0548  1 Au 2.79
Te3 0.3692 0.6308 0.4452  1 Au 2.79
Te4 0.6308 0.3692 0.5548  1 Au 2.79
Te5 0.6308 0.3692 0.9452  1 Au 2.79
Te6 0.9237 0.0763 0.7500  2 Au 2.82, 2 Sm 3.13
Au1 0.4685 0.5315 0.2500  4 Te 2.79-2.82
Au2 0.5315 0.4685 0.7500  4 Te 2.79-2.82

***

Density functional theory data (GGA-PBE) for a relaxed RbSnAu crystal.

Calculated values
V ... 38.70 Å³ per atom
DFT total energy ... -2.0866 eV/atom
Relative energy among the computed polymorphs ... 543 meV per atom

Lattice parameters (Å, degrees): 5.4760 5.4760 5.4760 60.00 60.00 60.00
Closest atoms and distances in Å follow each position.
Fractional coordinates of all 3 atoms:
Rb1 0.0000 0.0000 0.0000  4 Au 3.35, 4 Sn 3.35
Sn1 0.2500 0.2500 0.2500  4 Rb 3.35
Au1 0.7500 0.7500 0.7500  4 Rb 3.35

***

Density functional theory data (GGA-PBE) for a relaxed RbSnAu crystal.

Calculated values
V ... 34.36 Å³ per atom
DFT total energy ... -2.6294 eV/atom
Relative energy among the computed polymorphs ... 0 meV per atom

Lattice parameters (Å, degrees): 5.2631 5.2631 5.2631 60.00 60.00 60.00
Closest atoms and distances in Å follow each position.
Fractional coordinates of all 3 atoms:
Rb1 0.0000 0.0000 0.0000  4 Au 3.22
Sn1 0.5000 0.5000 0.5000  4 Au 3.22
Au1 0.2500 0.2500 0.2500  4 Sn 3.22, 4 Rb 3.22

***

Density functional theory data (GGA-PBE) for a relaxed Rb3Sn4Au crystal.

Calculated values
V ... 39.62 Å³ per atom
DFT total energy ... -3.1101 eV/atom

Lattice parameters (Å, degrees): 7.2105 13.1584 6.6815 90.00 90.00 90.00
Closest atoms and distances in Å follow each position.
Fractional coordinates of all 16 atoms:
Rb1 0.2500 0.0075 0.1557  1 Au 3.50, 4 Sn 3.74-3.87
Rb2 0.2500 0.2500 0.5778  2 Au 3.71, 4 Sn 3.83-3.99
Rb3 0.2500 0.4925 0.1557  1 Au 3.50, 4 Sn 3.74-3.87
Rb4 0.7500 0.5075 0.8443  1 Au 3.50, 4 Sn 3.74-3.87
Rb5 0.7500 0.7500 0.4222  2 Au 3.71, 4 Sn 3.83-3.99
Rb6 0.7500 0.9925 0.8443  1 Au 3.50, 4 Sn 3.74-3.87
Sn1 0.0309 0.7500 0.9364  1 Au 2.84, 3 Sn 2.96-3.16
Sn2 0.2500 0.6305 0.6444  1 Au 2.84, 3 Sn 2.96-3.14
Sn3 0.2500 0.8695 0.6444  1 Au 2.84, 3 Sn 2.96-3.14
Sn4 0.4691 0.7500 0.9364  1 Au 2.84, 3 Sn 2.96-3.16
Sn5 0.5309 0.2500 0.0636  1 Au 2.84, 3 Sn 2.96-3.16
Sn6 0.7500 0.1305 0.3556  1 Au 2.84, 3 Sn 2.96-3.14
Sn7 0.7500 0.3695 0.3556  1 Au 2.84, 3 Sn 2.96-3.14
Sn8 0.9691 0.2500 0.0636  1 Au 2.84, 3 Sn 2.96-3.16
Au1 0.2500 0.7500 0.2900  4 Sn 2.84
Au2 0.7500 0.2500 0.7100  4 Sn 2.84

***

What did the fifth record say?
Density functional theory data (GGA-PBE) for a relaxed RbSmTe3Au crystal.

Calculated values
Total moment ... 0.012 μB per formula unit
V ... 34.60 Å³ per atom
DFT total energy ... -3.9899 eV/atom

Lattice parameters (Å, degrees): 8.6756 8.6756 11.4196 90.00 90.00 151.12
Closest atoms and distances in Å follow each position.
Fractional coordinates of all 12 atoms:
Rb1 0.2466 0.7534 0.7500  8 Te 3.67-4.04
Rb2 0.7534 0.2466 0.2500  8 Te 3.67-4.04
Sm1 0.0000 0.0000 0.0000  6 Te 3.13-3.15
Sm2 0.0000 0.0000 0.5000  6 Te 3.13-3.15
Te1 0.0763 0.9237 0.2500  2 Au 2.82, 2 Sm 3.13
Te2 0.3692 0.6308 0.0548  1 Au 2.79
Te3 0.3692 0.6308 0.4452  1 Au 2.79
Te4 0.6308 0.3692 0.5548  1 Au 2.79
Te5 0.6308 0.3692 0.9452  1 Au 2.79
Te6 0.9237 0.0763 0.7500  2 Au 2.82, 2 Sm 3.13
Au1 0.4685 0.5315 0.2500  4 Te 2.79-2.82
Au2 0.5315 0.4685 0.7500  4 Te 2.79-2.82

***

Look up the DFT total energy of the third one.
-3.8138 eV/atom